Te2RuIF: optimized geometry, PBE.

## Properties
Formation energy from raw total energies (eV/atom): 0.71
Uncorrected energy (eV per cell): -15.4
Total magnetization (μB/f.u.): 3.373
Symmetry: No. 123
Crystal system: tetragonal

abc: 4.6189 4.6189 5.8184
angles: 90.00 90.00 90.00
Fractional positions:
Ru: 0.5000 0.5000 0.5000
I: 0.0000 0.0000 0.5000
Te: 0.0000 0.5000 0.0000
Te: 0.5000 0.0000 0.0000
F: 0.0000 0.0000 0.0000